ScGeSeBr2: relaxed, PBE.

Cell: 5.190 5.190 5.330 Å, 90.00 90.00 90.00°
Site moments in Bohr magnetons follow the coordinates.
Atoms (fractional coordinates):
1 Ge 0.000 0.000 0.000  -0.01
2 Sc 0.500 0.500 0.500  0.90
3 Se 0.000 0.000 0.500  -0.05
4 Br 0.500 0.000 0.000  -0.01
5 Br 0.000 0.500 0.000  -0.01

## Properties
The raw formation energy comes out at -147 meV/atom. The calculation puts the energy above the most stable polymorph in this dataset at 443.9 meV/atom. The energy comes out at -3.70 eV/atom. As for the symmetry: P4/mmm, No. 123. As for the crystal system: tetragonal.

***

Sc2SnGeBr: relaxed, PBE.

Cell: 4.986 5.541 4.986 Å, 90.00 90.00 90.00°
Atoms (fractional coordinates):
1 Sc 0.500 0.000 0.000
2 Br 0.000 0.000 0.000
3 Ge 0.500 0.500 0.500
4 Sn 0.000 0.500 0.000
5 Sc 0.000 0.000 0.500

## Properties
The raw formation energy comes out at 303 meV/atom. The calculation puts the energy above the most stable polymorph in this dataset at 259.7 meV/atom. The energy comes out at -4.29 eV/atom. As for the symmetry: P4/mmm, No. 123. As for the crystal system: tetragonal.

***

Sc2SnGeBr: relaxed, PBE.

Cell: 5.256 5.086 5.256 Å, 90.00 90.00 90.00°
Atoms (fractional coordinates):
1 Sc 0.000 0.000 0.500
2 Br 0.000 0.500 0.000
3 Sn 0.500 0.500 0.500
4 Ge 0.000 0.000 0.000
5 Sc 0.500 0.000 0.000

## Properties
The raw formation energy comes out at 43 meV/atom. The calculation puts the energy above the most stable polymorph in this dataset at 0.0 meV/atom. The energy comes out at -4.55 eV/atom. As for the symmetry: P4/mmm, No. 123. As for the crystal system: tetragonal.

***

Sc2SnGeBr: relaxed, PBE.

Cell: 5.017 5.141 5.017 Å, 90.00 90.00 90.00°
Atoms (fractional coordinates):
1 Sc 0.500 0.000 0.000
2 Br 0.000 0.000 0.000
3 Ge 0.000 0.500 0.000
4 Sc 0.000 0.000 0.500
5 Sn 0.500 0.500 0.500

## Properties
The raw formation energy comes out at 140 meV/atom. The calculation puts the energy above the most stable polymorph in this dataset at 96.3 meV/atom. The energy comes out at -4.45 eV/atom. As for the symmetry: P4/mmm, No. 123. As for the crystal system: tetragonal.

***

ScTlGe2Br8: relaxed, PBE.

Cell: 7.596 6.491 9.061 Å, 93.20 82.56 84.51°
Atoms (fractional coordinates):
1 Br 0.697 0.810 0.066
2 Br 0.826 0.217 0.825
3 Tl 0.000 0.000 0.500
4 Br 0.101 0.703 0.770
5 Ge 0.595 0.537 0.250
6 Br 0.647 0.724 0.482
7 Br 0.303 0.190 0.934
8 Br 0.174 0.783 0.175
9 Sc 0.000 0.000 0.000
10 Br 0.353 0.276 0.518
11 Ge 0.405 0.463 0.750
12 Br 0.899 0.297 0.230

## Properties
The raw formation energy comes out at -952 meV/atom. The energy comes out at -3.56 eV/atom. As for the symmetry: P-1, No. 2. As for the crystal system: triclinic.

***

ScZnGe2Br: relaxed, PBE.

Cell: 5.288 5.488 5.288 Å, 90.00 90.00 90.00°
Atoms (fractional coordinates):
1 Br 0.500 0.500 0.500
2 Zn 0.000 0.500 0.000
3 Ge 0.500 0.000 0.000
4 Sc 0.000 0.000 0.000
5 Ge 0.000 0.000 0.500

## Properties
The raw formation energy comes out at 517 meV/atom. The energy comes out at -3.19 eV/atom. As for the symmetry: P4/mmm, No. 123. As for the crystal system: tetragonal.

***

Ge2SeBr: relaxed, PBE.

Cell: 4.992 4.992 4.992 Å, 60.00 60.00 60.00°
Atoms (fractional coordinates):
1 Ge 0.250 0.250 0.250
2 Ge 0.750 0.750 0.750
3 Br 0.500 0.500 0.500
4 Se 0.000 0.000 0.000

## Properties
The raw formation energy comes out at 104 meV/atom. The calculation puts the energy above the most stable polymorph in this dataset at 78.6 meV/atom. The energy comes out at -3.49 eV/atom. As for the symmetry: Fm-3m, No. 225. As for the crystal system: cubic.

***

Ge3Se2Br2: relaxed, PBE.

Cell: 3.960 6.929 8.136 Å, 109.31 104.08 90.00°
Atoms (fractional coordinates):
1 Ge 0.256 0.223 0.512
2 Ge 0.744 0.777 0.488
3 Ge 0.000 0.000 0.000
4 Se 0.146 0.843 0.293
5 Se 0.854 0.157 0.707
6 Br 0.405 0.720 0.809
7 Br 0.595 0.280 0.191

## Properties
The raw formation energy comes out at -343 meV/atom. The energy comes out at -3.80 eV/atom. As for the symmetry: C2/m, No. 12. As for the crystal system: monoclinic.